1.
Computed, not measured: a relaxed structure of YScZnCd at the PBE-GGA level of DFT.

Structure (POSCAR):
```
YScZnCd
1.0
5.043 0.000 0.000
2.521 4.367 0.000
2.521 1.456 4.117
Y Sc Zn Cd
1 1 1 1
Direct
0.000 0.000 0.000
0.500 0.500 0.500
0.250 0.250 0.250
0.750 0.750 0.750
```

Results
The calculation puts the energy of formation at -30.36 kJ per mole of atoms. As for the space-group type: F-43m (216). The total energy is -4.061 eV/atom.


2.
Computed, not measured: a relaxed structure of PmTmHg2 at the PBE-GGA level of DFT.

Structure (POSCAR):
```
PmTmHg2
1.0
5.302 0.000 0.000
2.651 4.592 0.000
2.651 1.531 4.329
Tm Hg Pm
1 2 1
Direct
0.500 0.500 0.500
0.250 0.250 0.250
0.750 0.750 0.750
0.000 0.000 0.000
```

Results
The calculation puts the energy of formation at -44.83 kJ per mole of atoms. As for the space-group type: Fm-3m (225). The total energy is -2.921 eV/atom.


3.
Computed, not measured: a relaxed structure of SrZn3Br9 at the PBE-GGA level of DFT.

Structure (POSCAR):
```
SrZn3Br9
1.0
-3.082 -8.211 -5.324
-0.064 -0.372 -10.253
8.346 -8.004 -7.620
Sr Zn Br
2 6 18
Direct
0.561 0.937 0.989
0.937 0.561 0.489
0.052 0.183 0.327
0.183 0.052 0.827
0.809 0.995 0.157
0.995 0.809 0.657
0.577 0.352 0.301
0.352 0.577 0.801
0.807 0.731 0.664
0.731 0.807 0.164
0.603 0.569 0.096
0.569 0.603 0.596
0.037 0.848 0.235
0.848 0.037 0.735
0.452 0.305 0.968
0.305 0.452 0.468
0.149 0.179 0.621
0.179 0.149 0.121
0.105 0.409 0.291
0.409 0.105 0.791
0.120 0.557 0.809
0.557 0.120 0.309
0.750 0.241 0.418
0.241 0.750 0.918
0.903 0.204 0.947
0.204 0.903 0.447
```

Results
As for the space-group type: Cc (9). The total energy is -2.591 eV/atom. As for the uncorrected formation energy: -13.13 eV/f.u.


4.
Computed, not measured: a relaxed structure of CrFe2Ir2 at the PBE-GGA level of DFT.

Structure (POSCAR):
```
CrFe2Ir2
1.0
6.974 0.000 0.000
0.000 6.974 0.000
0.000 0.000 2.647
Cr Ir Fe
2 4 4
Direct
0.000 0.000 0.000
0.500 0.500 0.000
0.178 0.678 0.500
0.678 0.822 0.500
0.822 0.322 0.500
0.322 0.178 0.500
0.382 0.882 0.000
0.882 0.618 0.000
0.618 0.118 0.000
0.118 0.382 0.000
```

Results
The calculation puts the energy of formation at 18.92 kJ per mole of atoms. As for the space-group type: P4/mbm (127). The total energy is -8.658 eV/atom.


5.
Computed, not measured: a relaxed structure of H12PbC2I6N2 at the PBE-GGA level of DFT.

Structure (POSCAR):
```
H12PbC2I6N2
1.0
8.770 -0.828 0.057
-0.744 8.048 -0.026
0.077 0.139 15.906
H Pb C I N
24 2 4 12 4
Direct
0.592 0.965 0.744
0.421 0.945 0.683
0.427 0.812 0.773
0.448 0.187 0.776
0.451 0.062 0.861
0.289 0.045 0.804
0.927 0.501 0.867
0.939 0.323 0.814
0.821 0.452 0.781
0.167 0.531 0.783
0.044 0.673 0.749
0.049 0.483 0.692
0.975 0.734 0.267
0.005 0.639 0.358
0.856 0.554 0.297
0.195 0.583 0.257
0.042 0.507 0.185
0.061 0.392 0.280
0.710 0.000 0.274
0.619 0.950 0.367
0.600 0.129 0.315
0.479 0.778 0.257
0.467 0.967 0.200
0.366 0.925 0.298
0.605 0.456 0.513
0.933 0.978 0.013
0.057 0.541 0.754
0.466 0.937 0.746
0.075 0.518 0.251
0.470 0.911 0.262
0.590 0.038 0.011
0.404 0.677 0.990
0.237 0.348 0.957
0.870 0.605 0.019
0.307 0.071 0.492
0.697 0.827 0.507
0.942 0.377 0.510
0.145 0.729 0.505
0.563 0.463 0.715
0.573 0.434 0.310
0.983 0.021 0.211
0.989 0.015 0.810
0.928 0.449 0.808
0.409 0.064 0.800
0.972 0.617 0.296
0.608 0.002 0.307
```

Results
As for the space-group type: P1 (1). The total energy is -4.188 eV/atom.


6.
Computed, not measured: a relaxed structure of RbBaNa at the PBE-GGA level of DFT.

Structure (POSCAR):
```
RbBaNa
1.0
-0.636 10.926 1.578
-3.956 0.090 -2.214
-3.553 -2.992 6.227
Rb Ba Na
2 2 2
Direct
0.173 0.000 0.365
0.173 0.500 0.865
0.794 0.000 0.578
0.794 0.500 0.078
0.501 0.000 0.814
0.501 0.500 0.314
```

Results
The calculation puts the energy of formation at 8.90 kJ per mole of atoms. As for the space-group type: Cm (8). The total energy is -1.311 eV/atom.


Results for volume: 22.67; 26.35; 35.83; 12.87; 24.19; 63.03 (in A^3/atom, following the order of the records).